[1]
DyY2Au2: optimized geometry, PBE-GGA.

E_tot in eV per atom: -5.52
Theoretical density in Mg/m³: 9.55
Spin magnetization in μB/f.u.: 0.00
Crystal system: tetragonal
DFT formation energy in eV/f.u.: -3.52

Cell and atoms, written as CIF:
```
data_DyY2Au2
_cell_length_a 8.145
_cell_length_b 8.145
_cell_length_c 3.848
_cell_angle_alpha 90.00
_cell_angle_beta 90.00
_cell_angle_gamma 90.00
_symmetry_space_group_name_H-M 'P 4/m b m'
_symmetry_Int_Tables_number 127
_symmetry_space_group_name_Hall '-P 4 2ab'
loop_
_atom_site_label
_atom_site_fract_x
_atom_site_fract_y
_atom_site_fract_z
Dy1 0.000 0.000 0.000
Y1 0.162 0.338 0.500
Au1 0.133 0.633 0.000
```

=====

[2]
NdGd2Ag: optimized geometry, PBE-GGA.

Offset from the most stable computed form in meV/atom: 121.7
E_tot in eV per atom: -8.95
Theoretical density in Mg/m³: 8.16
Spin magnetization in μB/f.u.: 16.02
Crystal system: tetragonal
DFT formation energy in eV/f.u.: -0.04

Cell and atoms, written as CIF:
```
data_NdGd2Ag
_cell_length_a 4.901
_cell_length_b 4.901
_cell_length_c 4.802
_cell_angle_alpha 90.00
_cell_angle_beta 90.00
_cell_angle_gamma 90.00
_symmetry_space_group_name_H-M 'P 4/m m m'
_symmetry_Int_Tables_number 123
_symmetry_space_group_name_Hall '-P 4 2'
loop_
_atom_site_label
_atom_site_fract_x
_atom_site_fract_y
_atom_site_fract_z
Nd1 0.000 0.000 0.000
Gd1 0.000 0.500 0.500
Ag1 0.500 0.500 0.000
```

=====

[3]
Sm2HoThSc4: optimized geometry, PBE-GGA.

E_tot in eV per atom: -5.80
Theoretical density in Mg/m³: 6.43
Spin magnetization in μB/f.u.: 0.00
Crystal system: tetragonal
DFT formation energy in eV/f.u.: 0.37

Cell and atoms, written as CIF:
```
data_Sm2HoThSc4
_cell_length_a 4.995
_cell_length_b 4.995
_cell_length_c 9.084
_cell_angle_alpha 90.00
_cell_angle_beta 90.00
_cell_angle_gamma 90.00
_symmetry_space_group_name_H-M 'P 4/m m m'
_symmetry_Int_Tables_number 123
_symmetry_space_group_name_Hall '-P 4 2'
loop_
_atom_site_label
_atom_site_fract_x
_atom_site_fract_y
_atom_site_fract_z
Sm1 0.000 0.000 0.000
Sm2 0.500 0.500 0.500
Ho1 0.000 0.000 0.500
Th1 0.500 0.500 0.000
Sc1 0.000 0.500 0.248
```

=====

[4]
NaZnN: optimized geometry, PBE-GGA.

E_tot in eV per atom: -3.62
Theoretical density in Mg/m³: 3.92
Spin magnetization in μB/f.u.: 0.00
Crystal system: hexagonal

Cell and atoms, written as CIF:
```
data_NaZnN
_cell_length_a 3.4366
_cell_length_b 3.4366
_cell_length_c 4.2368
_cell_angle_alpha 90.00
_cell_angle_beta 90.00
_cell_angle_gamma 120.00
_symmetry_space_group_name_H-M 'P -6 m 2'
_symmetry_Int_Tables_number 187
_symmetry_space_group_name_Hall 'P -6 2'
loop_
_atom_site_label
_atom_site_fract_x
_atom_site_fract_y
_atom_site_fract_z
Na1 0.0000 0.0000 0.0000
Zn1 0.6667 0.3333 0.5000
N1 0.3333 0.6667 0.5000
```

=====

[5]
ZrSi2Tc: optimized geometry, PBE-GGA.

Offset from the most stable computed form in meV/atom: 302.4
E_tot in eV per atom: -7.66
Theoretical density in Mg/m³: 6.26
Spin magnetization in μB/f.u.: 0.00
Crystal system: trigonal

Cell and atoms, written as CIF:
```
data_ZrSi2Tc
_cell_length_a 3.0274
_cell_length_b 3.0274
_cell_length_c 24.6093
_cell_angle_alpha 90.00
_cell_angle_beta 90.00
_cell_angle_gamma 120.00
_symmetry_space_group_name_H-M 'R -3 m'
_symmetry_Int_Tables_number 166
_symmetry_space_group_name_Hall '-R 3 2"'
loop_
_atom_site_label
_atom_site_fract_x
_atom_site_fract_y
_atom_site_fract_z
Zr1 0.0000 0.0000 0.0000
Si1 0.0000 0.0000 0.2398
Tc1 0.0000 0.0000 0.5000
```

=====

[6]
AuO: optimized geometry, PBE-GGA.

E_tot in eV per atom: -3.75
Theoretical density in Mg/m³: 11.42
Spin magnetization in μB/f.u.: 0.00
Crystal system: triclinic

Cell and atoms, written as CIF:
```
data_AuO
_cell_length_a 3.100
_cell_length_b 3.105
_cell_length_c 3.283
_cell_angle_alpha 95.47
_cell_angle_beta 100.03
_cell_angle_gamma 90.07
_symmetry_space_group_name_H-M 'P 1'
_symmetry_Int_Tables_number 1
loop_
_symmetry_equiv_pos_as_xyz
'x,y,z'
loop_
_atom_site_label
_atom_site_fract_x
_atom_site_fract_y
_atom_site_fract_z
Au1 0.000 0.000 0.000
O1 0.489 0.494 0.940
```

=====

[7]
ScVMo2: optimized geometry, PBE-GGA.

Offset from the most stable computed form in meV/atom: 0.0
E_tot in eV per atom: -9.17
Theoretical density in Mg/m³: 7.23
Spin magnetization in μB/f.u.: 0.00
Crystal system: tetragonal
DFT formation energy in eV/f.u.: 0.45

Cell and atoms, written as CIF:
```
data_ScVMo2
_cell_length_a 3.095
_cell_length_b 3.095
_cell_length_c 6.896
_cell_angle_alpha 90.00
_cell_angle_beta 90.00
_cell_angle_gamma 90.00
_symmetry_space_group_name_H-M 'P 4/m m m'
_symmetry_Int_Tables_number 123
_symmetry_space_group_name_Hall '-P 4 2'
loop_
_atom_site_label
_atom_site_fract_x
_atom_site_fract_y
_atom_site_fract_z
Sc1 0.000 0.000 0.000
V1 0.000 0.000 0.500
Mo1 0.500 0.500 0.285
```

=====

[8]
TmMgGa6: optimized geometry, PBE-GGA.

E_tot in eV per atom: -3.32
Theoretical density in Mg/m³: 6.78
Spin magnetization in μB/f.u.: 0.00
Crystal system: tetragonal
DFT formation energy in eV/f.u.: -2.32

Cell and atoms, written as CIF:
```
data_TmMgGa6
_cell_length_a 4.216
_cell_length_b 4.216
_cell_length_c 8.429
_cell_angle_alpha 90.00
_cell_angle_beta 90.00
_cell_angle_gamma 90.00
_symmetry_space_group_name_H-M 'P 4/m m m'
_symmetry_Int_Tables_number 123
_symmetry_space_group_name_Hall '-P 4 2'
loop_
_atom_site_label
_atom_site_fract_x
_atom_site_fract_y
_atom_site_fract_z
Tm1 0.000 0.000 0.000
Mg1 0.000 0.000 0.500
Ga1 0.000 0.500 0.258
Ga2 0.500 0.500 0.000
Ga3 0.500 0.500 0.500
```